(1)
Material: TbHoMg
Method: DFT, GGA-PBE
State: optimized geometry

## Properties
Energy relative to the elements ... 4.2 kJ per mole of atoms
Fermi-level density of states ... 1.2871 states/eV per atom
Space group ... P3m1, No. 156
Electronic total energy ... -0.131 Ha/atom
Magnetic moment ... 0.00 μB per formula unit
Energy above the lowest structure with this stoichiometry ... 0.082 eV per atom

a b c (Å): 3.3753 5.4317 5.4317
angles (deg): 120.00 90.00 90.00
Closest atoms and distances in Å follow each position.
Fractional coordinates of all 3 atoms:
Mg  0.3271  0.3333  0.6667  3 Ho 3.27, 3 Tb 3.29, 2 Mg 3.38
Tb  0.6223  0.6667  0.3333  3 Mg 3.29, 2 Tb 3.38, 6 Ho 3.45-3.68
Ho  0.0506  0.0000  0.0000  3 Mg 3.27, 2 Ho 3.38, 3 Tb 3.45

=====

(2)
Material: TbHo6Mg
Method: DFT, GGA-PBE
State: optimized geometry

## Properties
Energy relative to the elements ... 13.1 kJ per mole of atoms
Fermi-level density of states ... 1.5864 states/eV per atom
Space group ... P-1, No. 2
Electronic total energy ... -0.150 Ha/atom
Magnetic moment ... 0.00 μB per formula unit
Energy above the lowest structure with this stoichiometry ... 0.097 eV per atom

a b c (Å): 8.5116 9.2878 6.3004
angles (deg): 42.45 47.48 56.84
Closest atoms and distances in Å follow each position.
Fractional coordinates of all 8 atoms:
Tb  0.5000  0.5000  0.5000  12 Ho 3.42-3.65
Ho  0.9547  0.5315  0.7568  6 Ho 3.21-3.55, 1 Mg 3.25, 1 Tb 3.42
Ho  0.7572  0.9550  0.8197  6 Ho 3.21-3.55, 1 Mg 3.25, 1 Tb 3.42
Ho  0.5316  0.2428  0.2711  6 Ho 3.21-3.55, 1 Mg 3.25, 1 Tb 3.42
Ho  0.2428  0.0450  0.1803  6 Ho 3.21-3.55, 1 Mg 3.25, 1 Tb 3.42
Ho  0.0453  0.4685  0.2432  6 Ho 3.21-3.55, 1 Mg 3.25, 1 Tb 3.42
Ho  0.4684  0.7572  0.7289  6 Ho 3.21-3.55, 1 Mg 3.25, 1 Tb 3.42
Mg  0.0000  0.0000  0.0000  6 Ho 3.25

=====

(3)
Material: Tb8Ho5Mg
Method: DFT, GGA-PBE
State: optimized geometry

## Properties
Energy relative to the elements ... 22.8 kJ per mole of atoms
Fermi-level density of states ... 1.3945 states/eV per atom
Space group ... I-4, No. 82
Electronic total energy ... -0.153 Ha/atom
Magnetic moment ... 0.00 μB per formula unit

a b c (Å): 8.4035 8.4035 8.4035
angles (deg): 110.48 107.47 110.48
Closest atoms and distances in Å follow each position.
Fractional coordinates of all 14 atoms:
Tb  0.1634  0.7288  0.0722  4 Ho 3.13-3.42, 1 Mg 3.17
Tb  0.9278  0.0912  0.6566  4 Ho 3.13-3.42, 1 Mg 3.17
Tb  0.7364  0.2595  0.3412  5 Ho 3.33-3.58, 4 Tb 3.55-3.66
Tb  0.6588  0.3953  0.9183  5 Ho 3.33-3.58, 4 Tb 3.55-3.66
Tb  0.5230  0.6047  0.2636  5 Ho 3.33-3.58, 4 Tb 3.55-3.66
Tb  0.5654  0.9088  0.8366  4 Ho 3.13-3.42, 1 Mg 3.17
Tb  0.3434  0.2712  0.4346  4 Ho 3.13-3.42, 1 Mg 3.17
Tb  0.0817  0.7405  0.4770  5 Ho 3.33-3.58, 4 Tb 3.55-3.66
Ho  0.0252  0.3106  0.1270  8 Tb 3.32-3.58, 2 Ho 3.51
Ho  0.8730  0.8983  0.1837  8 Tb 3.32-3.58, 2 Ho 3.51
Ho  0.8163  0.6893  0.7146  8 Tb 3.32-3.58, 2 Ho 3.51
Ho  0.5000  0.0000  0.5000  8 Tb 3.13-3.33
Ho  0.2854  0.1017  0.9748  8 Tb 3.32-3.58, 2 Ho 3.51
Mg  0.2500  0.5000  0.7500  4 Tb 3.17

=====

(4)
Material: TbHo7Mg4
Method: DFT, GGA-PBE
State: optimized geometry

## Properties
Energy relative to the elements ... 17.4 kJ per mole of atoms
Fermi-level density of states ... 1.3184 states/eV per atom
Space group ... C2/m, No. 12
Electronic total energy ... -0.125 Ha/atom
Magnetic moment ... 0.23 μB per formula unit

a b c (Å): 5.7134 9.0167 8.0277
angles (deg): 68.59 69.15 71.53
Closest atoms and distances in Å follow each position.
Fractional coordinates of all 12 atoms:
Tb  0.0000  0.0000  0.0000  2 Ho 2.86
Ho  0.7967  0.8781  0.5285  4 Mg 3.48-3.86, 7 Ho 3.49-3.74, 1 Tb 3.80
Ho  0.2033  0.1219  0.4715  4 Mg 3.48-3.86, 7 Ho 3.49-3.74, 1 Tb 3.80
Ho  0.0796  0.5751  0.2657  5 Mg 3.14-3.46, 2 Ho 3.38-3.44
Ho  0.9204  0.4249  0.7343  5 Mg 3.14-3.46, 2 Ho 3.38-3.44
Ho  0.2507  0.7113  0.7873  4 Mg 3.05-3.23, 1 Tb 3.30
Ho  0.5000  0.0000  0.0000  2 Tb 2.86, 2 Mg 2.97
Ho  0.7493  0.2887  0.2127  4 Mg 3.05-3.23, 1 Tb 3.30
Mg  0.5420  0.3017  0.6142  4 Ho 3.05-3.28, 2 Mg 3.06-3.34
Mg  0.4580  0.6983  0.3858  4 Ho 3.05-3.28, 2 Mg 3.06-3.34
Mg  0.6751  0.6540  0.9958  5 Ho 2.97-3.23, 1 Mg 3.06
Mg  0.3249  0.3460  0.0042  5 Ho 2.97-3.23, 1 Mg 3.06

=====

(5)
Material: Tb3Ho4Mg
Method: DFT, GGA-PBE
State: optimized geometry

## Properties
Energy relative to the elements ... 0.1 kJ per mole of atoms
Fermi-level density of states ... 1.3747 states/eV per atom
Space group ... Pmn2_1, No. 31
Electronic total energy ... -0.155 Ha/atom
Magnetic moment ... 0.00 μB per formula unit
Energy above the lowest structure with this stoichiometry ... 0.000 eV per atom

a b c (Å): 6.1694 7.0827 11.2022
angles (deg): 90.00 90.00 90.00
Closest atoms and distances in Å follow each position.
Fractional coordinates of all 16 atoms:
Tb  0.6363  0.6282  0.0000  6 Ho 3.43-3.68, 4 Tb 3.45-3.51, 2 Mg 3.52-3.63
Tb  0.9780  0.6220  0.2442  2 Mg 3.41-3.52, 4 Tb 3.45-3.54, 6 Ho 3.47-3.61
Tb  0.4780  0.3780  0.2558  2 Mg 3.41-3.52, 4 Tb 3.45-3.54, 6 Ho 3.47-3.61
Tb  0.1363  0.3718  0.5000  6 Ho 3.43-3.68, 4 Tb 3.45-3.51, 2 Mg 3.52-3.63
Tb  0.4780  0.3780  0.7442  2 Mg 3.41-3.52, 4 Tb 3.45-3.54, 6 Ho 3.47-3.61
Tb  0.9780  0.6220  0.7558  2 Mg 3.41-3.52, 4 Tb 3.45-3.54, 6 Ho 3.47-3.61
Ho  0.1602  0.8777  0.0000  4 Tb 3.43-3.68, 6 Ho 3.43-3.64, 2 Mg 3.52-3.57
Ho  0.6425  0.1249  0.0000  6 Ho 3.45-3.64, 4 Tb 3.52-3.56, 2 Mg 3.53-3.58
Ho  0.9867  0.1257  0.2449  1 Mg 3.41, 6 Ho 3.43-3.56, 5 Tb 3.47-3.61
Ho  0.4867  0.8743  0.2551  1 Mg 3.41, 6 Ho 3.43-3.56, 5 Tb 3.47-3.61
Ho  0.1425  0.8751  0.5000  6 Ho 3.45-3.64, 4 Tb 3.52-3.56, 2 Mg 3.53-3.58
Ho  0.6602  0.1223  0.5000  4 Tb 3.43-3.68, 6 Ho 3.43-3.64, 2 Mg 3.52-3.57
Ho  0.4867  0.8743  0.7449  1 Mg 3.41, 6 Ho 3.43-3.56, 5 Tb 3.47-3.61
Ho  0.9867  0.1257  0.7551  1 Mg 3.41, 6 Ho 3.43-3.56, 5 Tb 3.47-3.61
Mg  0.1468  0.3741  0.0000  6 Ho 3.41-3.58, 6 Tb 3.41-3.63
Mg  0.6468  0.6259  0.5000  6 Ho 3.41-3.58, 6 Tb 3.41-3.63

=====

(6)
Material: TbHo4Mg7
Method: DFT, GGA-PBE
State: optimized geometry

## Properties
Energy relative to the elements ... 15.3 kJ per mole of atoms
Fermi-level density of states ... 1.0723 states/eV per atom
Space group ... C2/m, No. 12
Electronic total energy ... -0.099 Ha/atom
Magnetic moment ... 0.00 μB per formula unit
Energy above the lowest structure with this stoichiometry ... 0.176 eV per atom

a b c (Å): 5.6323 10.7591 6.4098
angles (deg): 86.84 63.94 74.83
Closest atoms and distances in Å follow each position.
Fractional coordinates of all 12 atoms:
Tb  0.0000  0.0000  0.0000  4 Mg 2.82-3.15
Ho  0.6139  0.2217  0.5504  7 Mg 3.10-3.42
Ho  0.3861  0.7783  0.4496  7 Mg 3.10-3.42
Ho  0.7514  0.6783  0.8189  7 Mg 3.16-3.54
Ho  0.2486  0.3217  0.1811  7 Mg 3.16-3.54
Mg  0.7790  0.9227  0.5193  2 Mg 2.83-3.07, 2 Ho 3.10-3.16, 1 Tb 3.15
Mg  0.2210  0.0773  0.4807  2 Mg 2.83-3.07, 2 Ho 3.10-3.16, 1 Tb 3.15
Mg  0.0663  0.6766  0.1908  2 Mg 2.95-3.07
Mg  0.9337  0.3234  0.8092  2 Mg 2.95-3.07
Mg  0.3675  0.5079  0.7571  2 Mg 2.95, 2 Ho 3.12-3.22
Mg  0.5000  0.0000  0.0000  2 Tb 2.82, 2 Mg 2.83
Mg  0.6325  0.4921  0.2429  2 Mg 2.95, 2 Ho 3.12-3.22

=====

(7)
Material: Tb5Ho2Mg2
Method: DFT, GGA-PBE
State: optimized geometry

## Properties
Energy relative to the elements ... -1.9 kJ per mole of atoms
Fermi-level density of states ... 1.0468 states/eV per atom
Space group ... C2/m, No. 12
Electronic total energy ... -0.146 Ha/atom
Magnetic moment ... 0.00 μB per formula unit

a b c (Å): 3.7524 6.5892 11.7866
angles (deg): 104.84 80.85 106.54
Closest atoms and distances in Å follow each position.
Fractional coordinates of all 9 atoms:
Tb  0.6861  0.7892  0.4169  2 Mg 3.27, 3 Tb 3.47-3.52, 5 Ho 3.50-3.58
Tb  0.3139  0.2108  0.5831  2 Mg 3.27, 3 Tb 3.47-3.52, 5 Ho 3.50-3.58
Tb  0.3184  0.5140  0.8765  2 Mg 3.27, 5 Tb 3.47-3.61, 2 Ho 3.54
Tb  0.6816  0.4860  0.1235  2 Mg 3.27, 5 Tb 3.47-3.61, 2 Ho 3.54
Tb  0.0000  0.0000  0.0000  4 Mg 3.23, 4 Tb 3.61
Ho  0.0160  0.6895  0.6570  2 Mg 3.22-3.23, 7 Tb 3.50-3.58
Ho  0.9840  0.3105  0.3430  2 Mg 3.22-3.23, 7 Tb 3.50-3.58
Mg  0.3523  0.9150  0.2114  2 Ho 3.22-3.23, 6 Tb 3.23-3.27
Mg  0.6477  0.0850  0.7886  2 Ho 3.22-3.23, 6 Tb 3.23-3.27

=====

(8)
Material: Tb5Ho8Mg
Method: DFT, GGA-PBE
State: optimized geometry

## Properties
Energy relative to the elements ... 22.5 kJ per mole of atoms
Fermi-level density of states ... 1.2903 states/eV per atom
Space group ... I-4, No. 82
Electronic total energy ... -0.153 Ha/atom
Magnetic moment ... 0.00 μB per formula unit

a b c (Å): 8.3714 8.3714 8.3714
angles (deg): 110.48 107.47 110.48
Closest atoms and distances in Å follow each position.
Fractional coordinates of all 14 atoms:
Tb  0.0250  0.3137  0.1297  8 Ho 3.31-3.57, 2 Tb 3.53
Tb  0.8703  0.8954  0.1840  8 Ho 3.31-3.57, 2 Tb 3.53
Tb  0.8160  0.6863  0.7114  8 Ho 3.31-3.57, 2 Tb 3.53
Tb  0.5000  0.0000  0.5000  8 Ho 3.11-3.31
Tb  0.2886  0.1046  0.9750  8 Ho 3.31-3.57, 2 Tb 3.53
Ho  0.1652  0.7300  0.0723  4 Tb 3.11-3.43, 1 Mg 3.16
Ho  0.9277  0.0929  0.6577  4 Tb 3.11-3.43, 1 Mg 3.16
Ho  0.7343  0.2575  0.3390  5 Tb 3.31-3.57, 4 Ho 3.57-3.64
Ho  0.6610  0.3954  0.9185  5 Tb 3.31-3.57, 4 Ho 3.57-3.64
Ho  0.5231  0.6046  0.2657  5 Tb 3.31-3.57, 4 Ho 3.57-3.64
Ho  0.5648  0.9071  0.8348  4 Tb 3.11-3.43, 1 Mg 3.16
Ho  0.3423  0.2700  0.4352  4 Tb 3.11-3.43, 1 Mg 3.16
Ho  0.0815  0.7425  0.4769  5 Tb 3.31-3.57, 4 Ho 3.57-3.64
Mg  0.2500  0.5000  0.7500  4 Ho 3.16